Here is crystalline KTmZnTe3 at its relaxed geometry from the Alexandria database. Energies are from GGA-PBE.

a b c (Å): 9.6436 4.3683 10.4850
angles (deg): 90.00 108.68 90.00
Space group P2_1/m (No. 11)
Unique sites:
1 K 0.2093 0.2500 0.2396 (multiplicity 2)
2 Tm 0.3291 0.7500 0.8605 (multiplicity 2)
3 Zn 0.0822 0.2500 0.6048 (multiplicity 2)
4 Te 0.1059 0.2500 0.8626 (multiplicity 2)
5 Te 0.2145 0.7500 0.5381 (multiplicity 2)
6 Te 0.4612 0.7500 0.1639 (multiplicity 2)

Summary:
For the spin magnetization, the calculation gives 0.000 Bohr magnetons per cell. The calculation puts the formation energy from raw total energies at -1046 meV/atom. Its raw total energy is -45.09 eV/cell.